1.
# ZnCrAg2 PBE optimized geometry
# Crystal system   tetragonal
# M_tot   4.10 μB/f.u.
# Symmetry   I-4m2
data_ZnCrAg2
_space_group_name_H-M_alt 'P 1'
_space_group_IT_number 1
_cell_length_a 4.961
_cell_length_b 4.961
_cell_length_c 4.961
_cell_angle_alpha 131.83
_cell_angle_beta 131.87
_cell_angle_gamma 70.47
loop_
_space_group_symop_operation_xyz
'x,y,z'
loop_
_atom_site_label
_atom_site_fract_x
_atom_site_fract_y
_atom_site_fract_z
Ag1 0.000 0.000 0.000
Ag2 0.750 0.250 0.500
Cr1 0.500 0.500 0.000
Zn1 0.250 0.750 0.500

2.
# ZnCrAg3 PBE optimized geometry
# Crystal system   cubic
# M_tot   4.60 μB/f.u.
# Symmetry   Pm-3m
data_ZnCrAg3
_space_group_name_H-M_alt 'P 1'
_space_group_IT_number 1
_cell_length_a 4.799
_cell_length_b 4.799
_cell_length_c 4.799
_cell_angle_alpha 90.00
_cell_angle_beta 90.00
_cell_angle_gamma 90.00
loop_
_space_group_symop_operation_xyz
'x,y,z'
loop_
_atom_site_label
_atom_site_fract_x
_atom_site_fract_y
_atom_site_fract_z
Cr1 0.500 0.500 0.500
Zn1 0.000 0.000 0.000
Ag1 0.000 0.500 0.000
Ag2 0.000 0.000 0.500
Ag3 0.500 0.000 0.000

3.
# ZnCrAg2 PBE optimized geometry
# Crystal system   monoclinic
# M_tot   3.97 μB/f.u.
# Symmetry   Cm
data_ZnCrAg2
_space_group_name_H-M_alt 'P 1'
_space_group_IT_number 1
_cell_length_a 4.989
_cell_length_b 4.989
_cell_length_c 4.745
_cell_angle_alpha 74.94
_cell_angle_beta 74.94
_cell_angle_gamma 35.98
loop_
_space_group_symop_operation_xyz
'x,y,z'
loop_
_atom_site_label
_atom_site_fract_x
_atom_site_fract_y
_atom_site_fract_z
Ag1 0.007 0.007 0.986
Ag2 0.247 0.247 0.259
Cr1 0.492 0.492 0.502
Zn1 0.753 0.753 0.753

4.
# ZnCrAg2 PBE optimized geometry
# Crystal system   orthorhombic
# M_tot   1.20 μB/f.u.
# Symmetry   Cmm2
data_ZnCrAg2
_space_group_name_H-M_alt 'P 1'
_space_group_IT_number 1
_cell_length_a 2.758
_cell_length_b 2.758
_cell_length_c 8.149
_cell_angle_alpha 90.00
_cell_angle_beta 90.00
_cell_angle_gamma 89.89
loop_
_space_group_symop_operation_xyz
'x,y,z'
loop_
_atom_site_label
_atom_site_fract_x
_atom_site_fract_y
_atom_site_fract_z
Ag1 0.000 0.000 0.986
Ag2 0.500 0.500 0.265
Cr1 0.000 0.000 0.515
Zn1 0.500 0.500 0.734

5.
# ZnCr3Ag PBE optimized geometry
# Crystal system   cubic
# M_tot   13.20 μB/f.u.
# Symmetry   Pm-3m
data_ZnCr3Ag
_space_group_name_H-M_alt 'P 1'
_space_group_IT_number 1
_cell_length_a 4.989
_cell_length_b 4.989
_cell_length_c 4.989
_cell_angle_alpha 90.00
_cell_angle_beta 90.00
_cell_angle_gamma 90.00
loop_
_space_group_symop_operation_xyz
'x,y,z'
loop_
_atom_site_label
_atom_site_fract_x
_atom_site_fract_y
_atom_site_fract_z
Cr1 0.000 0.500 0.000
Cr2 0.000 0.000 0.500
Cr3 0.500 0.000 0.000
Zn1 0.500 0.500 0.500
Ag1 0.000 0.000 0.000

6.
# ZnCrAg2 PBE optimized geometry
# Crystal system   tetragonal
# M_tot   4.29 μB/f.u.
# Symmetry   I-42d
data_ZnCrAg2
_space_group_name_H-M_alt 'P 1'
_space_group_IT_number 1
_cell_length_a 7.336
_cell_length_b 7.336
_cell_length_c 5.869
_cell_angle_alpha 51.32
_cell_angle_beta 51.32
_cell_angle_gamma 90.00
loop_
_space_group_symop_operation_xyz
'x,y,z'
loop_
_atom_site_label
_atom_site_fract_x
_atom_site_fract_y
_atom_site_fract_z
Cr1 0.500 0.500 0.000
Cr2 0.250 0.750 0.500
Zn1 0.000 0.000 0.000
Zn2 0.750 0.250 0.500
Ag1 0.642 0.125 0.250
Ag2 0.108 0.625 0.250
Ag3 0.375 0.358 0.750
Ag4 0.875 0.892 0.750

7.
# ZnCrAg2 PBE optimized geometry
# Crystal system   monoclinic
# M_tot   4.02 μB/f.u.
# Symmetry   C2/m
data_ZnCrAg2
_space_group_name_H-M_alt 'P 1'
_space_group_IT_number 1
_cell_length_a 4.972
_cell_length_b 4.972
_cell_length_c 4.818
_cell_angle_alpha 76.76
_cell_angle_beta 76.76
_cell_angle_gamma 35.28
loop_
_space_group_symop_operation_xyz
'x,y,z'
loop_
_atom_site_label
_atom_site_fract_x
_atom_site_fract_y
_atom_site_fract_z
Ag1 0.005 0.005 0.997
Ag2 0.495 0.495 0.503
Cr1 0.250 0.250 0.250
Zn1 0.750 0.750 0.750

8.
# ZnCrAg2 PBE optimized geometry
# Crystal system   orthorhombic
# M_tot   4.02 μB/f.u.
# Symmetry   Pmm2
data_ZnCrAg2
_space_group_name_H-M_alt 'P 1'
_space_group_IT_number 1
_cell_length_a 2.971
_cell_length_b 3.832
_cell_length_c 5.854
_cell_angle_alpha 90.00
_cell_angle_beta 90.00
_cell_angle_gamma 90.00
loop_
_space_group_symop_operation_xyz
'x,y,z'
loop_
_atom_site_label
_atom_site_fract_x
_atom_site_fract_y
_atom_site_fract_z
Ag1 0.000 0.000 0.988
Ag2 0.500 0.500 0.259
Cr1 0.000 0.000 0.509
Zn1 0.500 0.500 0.743

For reference, calculated formation energy by record: 0.207 0.749 0.248 0.304 1.532 0.467 0.248 0.223 eV per atom.
For reference, E_tot by record: -3.94 -3.14 -3.90 -3.85 -5.07 -3.68 -3.90 -3.93 eV per atom.